# 1
GGA-PBE Co2CuGe, relaxed; space-group type = P4/mmm (123)
1.0
3.716 0.000 0.000
0.000 3.716 0.000
0.000 0.000 3.366
Co Cu Ge
2 1 1
Direct
0.000 0.500 0.000 Co
0.500 0.000 0.000 Co
0.000 0.000 0.500 Cu
0.500 0.500 0.500 Ge

# 2
GGA-PBE La2PrZr, relaxed; offset from the most stable computed form = 0.193 eV per atom; space-group type = R-3m (166)
1.0
1.724 0.995 12.447
-1.724 0.995 12.447
0.000 -1.990 12.447
La Pr Zr
2 1 1
Direct
0.082 0.082 0.082 La
0.918 0.918 0.918 La
0.500 0.500 0.500 Pr
0.000 0.000 0.000 Zr

# 3
GGA-PBE Lu2TlCo, relaxed; offset from the most stable computed form = 0.000 eV per atom; space-group type = R-3m (166)
1.0
1.812 1.046 8.379
-1.812 1.046 8.379
0.000 -2.093 8.379
Lu Tl Co
2 1 1
Direct
0.229 0.229 0.229 Lu
0.771 0.771 0.771 Lu
0.000 0.000 0.000 Tl
0.500 0.500 0.500 Co

no.,energy (eV/atom),energy of formation (meV/atom),ρ (g/cm³)
1,-5.747,-16,9.08
2,-5.466,330,6.61
3,-4.808,-180,10.68